# CaFeO2 (PBE with a Hubbard U, relaxed)
# Calculated total energy (eV per atom): -6.53
data_CaFeO2
_cell_length_a 3.268
_cell_length_b 7.907
_cell_length_c 8.028
_cell_angle_alpha 71.56
_cell_angle_beta 89.97
_cell_angle_gamma 89.34
_space_group_name_H-M_alt 'P -1'
_space_group_IT_number 2
_space_group_name_Hall '-P 1'
loop_
_atom_site_label
_atom_site_fract_x
_atom_site_fract_y
_atom_site_fract_z
Ca1 0.236 0.067 0.312
Ca2 0.247 0.798 0.071
Fe1 0.248 0.319 0.557
Fe2 0.263 0.564 0.809
O1 0.184 0.553 0.320
O2 0.259 0.063 0.811
O3 0.264 0.331 0.069
O4 0.280 0.797 0.555

=====

# CaFe2O4 (PBE with a Hubbard U, relaxed)
# Energy relative to the lowest polymorph listed for this composition (eV per atom): 0.0000
# Calculated total energy (eV per atom): -6.67
data_CaFe2O4
_cell_length_a 6.005
_cell_length_b 11.213
_cell_length_c 5.215
_cell_angle_alpha 90.00
_cell_angle_beta 90.00
_cell_angle_gamma 90.00
_space_group_name_H-M_alt 'P m m n'
_space_group_IT_number 59
loop_
_space_group_symop_operation_xyz
'x,y,z'
'-x,-y,-z'
'-x+1/2,-y+1/2,z'
'x+1/2,y+1/2,-z'
'x+1/2,-y,-z'
'-x+1/2,y,z'
'-x,y+1/2,-z'
'x,-y+1/2,z'
loop_
_atom_site_label
_atom_site_fract_x
_atom_site_fract_y
_atom_site_fract_z
Ca1 0.250 0.250 0.032
Ca2 0.250 0.750 0.357
Fe1 0.000 0.000 0.500
Fe2 0.250 0.515 0.996
O1 0.003 0.104 0.834
O2 0.250 0.090 0.318
O3 0.250 0.598 0.658

=====

# Ca2Fe2O5 (PBE with a Hubbard U, relaxed)
# Energy relative to the lowest polymorph listed for this composition (eV per atom): 0.1389
# Calculated total energy (eV per atom): -6.48
data_Ca2Fe2O5
_cell_length_a 8.266
_cell_length_b 5.504
_cell_length_c 5.373
_cell_angle_alpha 90.00
_cell_angle_beta 90.00
_cell_angle_gamma 90.00
_space_group_name_H-M_alt 'P m n 21'
_space_group_IT_number 31
_space_group_name_Hall 'P 2ac -2'
loop_
_atom_site_label
_atom_site_fract_x
_atom_site_fract_y
_atom_site_fract_z
Ca1 0.000 0.213 0.000
Ca2 0.000 0.723 0.403
Fe1 0.219 0.752 0.930
O1 0.000 0.793 0.818
O2 0.186 0.982 0.232
O3 0.190 0.480 0.181

=====

# Ca2Fe2O5 (PBE with a Hubbard U, relaxed)
# Energy relative to the lowest polymorph listed for this composition (eV per atom): 0.1645
# Calculated total energy (eV per atom): -6.45
data_Ca2Fe2O5
_cell_length_a 6.119
_cell_length_b 6.176
_cell_length_c 7.108
_cell_angle_alpha 97.13
_cell_angle_beta 98.30
_cell_angle_gamma 112.54
_space_group_name_H-M_alt 'P -1'
_space_group_IT_number 2
_space_group_name_Hall '-P 1'
loop_
_atom_site_label
_atom_site_fract_x
_atom_site_fract_y
_atom_site_fract_z
Ca1 0.038 0.118 0.294
Ca2 0.396 0.486 0.722
Fe1 0.000 0.500 0.000
Fe2 0.323 0.822 0.346
Fe3 0.500 0.000 0.000
O1 0.028 0.286 0.807
O2 0.265 0.513 0.404
O3 0.295 0.043 0.561
O4 0.347 0.683 0.051
O5 0.375 0.111 0.187

=====

# CaFe5O7 (PBE with a Hubbard U, relaxed)
# Calculated total energy (eV per atom): -6.63
data_CaFe5O7
_cell_length_a 3.085
_cell_length_b 10.229
_cell_length_c 18.499
_cell_angle_alpha 90.00
_cell_angle_beta 90.00
_cell_angle_gamma 90.00
_space_group_name_H-M_alt 'C m c m'
_space_group_IT_number 63
_space_group_name_Hall '-C 2c 2'
loop_
_atom_site_label
_atom_site_fract_x
_atom_site_fract_y
_atom_site_fract_z
Ca1 0.000 0.221 0.250
Fe1 0.000 0.000 0.000
Fe2 0.000 0.270 0.575
Fe3 0.000 0.468 0.157
O1 0.000 0.100 0.098
O2 0.000 0.176 0.665
O3 0.000 0.351 0.032
O4 0.000 0.441 0.750

=====

# CaFe2O4 (PBE with a Hubbard U, relaxed)
# Energy relative to the lowest polymorph listed for this composition (eV per atom): 0.1090
# Calculated total energy (eV per atom): -6.56
data_CaFe2O4
_cell_length_a 14.897
_cell_length_b 3.008
_cell_length_c 9.150
_cell_angle_alpha 90.00
_cell_angle_beta 120.25
_cell_angle_gamma 90.00
_space_group_name_H-M_alt 'C 1 2/m 1'
_space_group_IT_number 12
_space_group_name_Hall '-C 2y'
loop_
_atom_site_label
_atom_site_fract_x
_atom_site_fract_y
_atom_site_fract_z
Ca1 0.113 0.000 0.160
Fe1 0.079 0.000 0.779
Fe2 0.164 0.500 0.524
O1 0.068 0.500 0.931
O2 0.070 0.000 0.382
O3 0.138 0.500 0.717
O4 0.225 0.500 0.358

=====

# Ca3Fe2O7 (PBE with a Hubbard U, relaxed)
# Calculated total energy (eV per atom): -6.43
data_Ca3Fe2O7
_cell_length_a 19.374
_cell_length_b 5.440
_cell_length_c 5.448
_cell_angle_alpha 90.00
_cell_angle_beta 90.00
_cell_angle_gamma 90.00
_space_group_name_H-M_alt 'C m c 21'
_space_group_IT_number 36
_space_group_name_Hall 'C 2c -2'
loop_
_atom_site_label
_atom_site_fract_x
_atom_site_fract_y
_atom_site_fract_z
Ca1 0.000 0.242 0.000
Ca2 0.186 0.238 0.924
Fe1 0.099 0.251 0.459
O1 0.000 0.325 0.443
O2 0.083 0.034 0.744
O3 0.112 0.467 0.177
O4 0.198 0.191 0.475

=====

# Ca4FeO5 (PBE with a Hubbard U, relaxed)
# Calculated total energy (eV per atom): -6.45
data_Ca4FeO5
_cell_length_a 7.508
_cell_length_b 7.508
_cell_length_c 4.787
_cell_angle_alpha 90.00
_cell_angle_beta 90.00
_cell_angle_gamma 90.00
_space_group_name_H-M_alt 'I 4'
_space_group_IT_number 79
_space_group_name_Hall 'I 4'
loop_
_atom_site_label
_atom_site_fract_x
_atom_site_fract_y
_atom_site_fract_z
Ca1 0.103 0.299 0.000
Fe1 0.000 0.000 0.469
O1 0.000 0.000 0.031
O2 0.096 0.293 0.503